Record 1
Here is crystalline Be3AlPd at its relaxed geometry from Alexandria via LeMat-Bulk. Energies are from PBE.

Computed properties:
- energy above the lowest structure with this stoichiometry (eV/atom) = 0.0000
- density of states at the Fermi level (states/eV/cell) = 1.4
- raw total energy (eV/cell) = -17.8
- space-group type = Pm-3m, No. 221
- calculated formation energy (eV per atom) = 0.46

a b c (Å): 4.222 4.222 4.222
angles (deg): 90.00 90.00 90.00
Sites, in units of the cell vectors:
1 Be 0.000 0.500 0.000
2 Be 0.500 0.000 0.000
3 Be 0.000 0.000 0.500
4 Al 0.500 0.500 0.500
5 Pd 0.000 0.000 0.000

---

Record 2
Here is crystalline HoPdAu at its relaxed geometry from Alexandria via LeMat-Bulk. Energies are from PBE.

Computed properties:
- energy above the lowest structure with this stoichiometry (eV/atom) = 0.1519
- density of states at the Fermi level (states/eV/cell) = 1.2
- raw total energy (eV/cell) = -15.2
- space-group type = F-43m, No. 216
- calculated formation energy (eV per atom) = -0.71

a b c (Å): 4.603 4.603 4.603
angles (deg): 60.00 60.00 60.00
Sites, in units of the cell vectors:
1 Au 0.000 0.000 0.000
2 Pd 0.250 0.250 0.250
3 Ho 0.500 0.500 0.500

---

Record 3
Here is crystalline Ta3HgAs at its relaxed geometry from Alexandria via LeMat-Bulk. Energies are from PBE.

Computed properties:
- energy above the lowest structure with this stoichiometry (eV/atom) = 0.0000
- density of states at the Fermi level (states/eV/cell) = 11.2
- raw total energy (eV/cell) = -35.7
- space-group type = Pm-3m, No. 221
- calculated formation energy (eV per atom) = 0.95

a b c (Å): 4.753 4.753 4.753
angles (deg): 90.00 90.00 90.00
Sites, in units of the cell vectors:
1 Ta 0.500 0.000 0.000
2 Ta 0.000 0.000 0.500
3 Ta 0.000 0.500 0.000
4 As 0.000 0.000 0.000
5 Hg 0.500 0.500 0.500

---

Record 4
Here is crystalline KSrMg2Ir at its relaxed geometry from Alexandria via LeMat-Bulk. Energies are from PBE.

Computed properties:
- density of states at the Fermi level (states/eV/cell) = 2.7
- raw total energy (eV/cell) = -15.1
- space-group type = P4/mmm, No. 123
- calculated formation energy (eV per atom) = -0.06

a b c (Å): 5.283 5.283 5.720
angles (deg): 90.00 90.00 90.00
Sites, in units of the cell vectors:
1 Mg 0.500 0.000 0.000
2 Mg 0.000 0.500 0.000
3 Ir 0.000 0.000 0.000
4 Sr 0.000 0.000 0.500
5 K 0.500 0.500 0.500

---

Record 5
Here is crystalline RhC3Br at its relaxed geometry from Alexandria via LeMat-Bulk. Energies are from PBE.

Computed properties:
- formation energy from raw total energies (meV per atom) = 2349
- energy above the lowest structure with this stoichiometry (eV/atom) = 0.0000
- density of states at the Fermi level (states/eV/cell) = 3.7
- raw total energy (eV/cell) = -25.0
- space-group type = Pm-3m, No. 221

a b c (Å): 4.059 4.059 4.059
angles (deg): 90.00 90.00 90.00
Site moments in Bohr magnetons follow the coordinates.
Sites, in units of the cell vectors:
1 Br 0.500 0.500 0.500  -0.04
2 C 0.000 0.500 0.000  0.34
3 C 0.500 0.000 0.000  0.16
4 C 0.000 0.000 0.500  0.37
5 Rh 0.000 0.000 0.000  0.01

---

Record 6
Here is crystalline La2PaAlPt6 at its relaxed geometry from Alexandria via LeMat-Bulk. Energies are from PBE.

Computed properties:
- density of states at the Fermi level (states/eV/cell) = 5.4
- raw total energy (eV/cell) = -69.2
- space-group type = P-1, No. 2
- calculated formation energy (eV per atom) = -0.99

a b c (Å): 5.566 8.606 8.549
angles (deg): 37.50 59.81 68.28
Sites, in units of the cell vectors:
1 Pt 0.246 0.594 0.275
2 Pt 0.754 0.406 0.725
3 Pt 0.140 0.334 0.986
4 Pt 0.263 0.055 0.612
5 Pt 0.860 0.666 0.014
6 Pt 0.737 0.945 0.388
7 Pa 0.500 0.500 0.000
8 La 0.693 0.192 0.594
9 La 0.307 0.808 0.406
10 Al 0.000 0.000 0.000